No. 1
# P2AuSeI

An optimized crystal structure of P2AuSeI (PBE, Alexandria via LeMat-Bulk).

The space group is P4/mmm (No. 123) and the conventional cell measures 4.763, 4.763 and 5.925 Å, with angles of 90.00, 90.00 and 90.00 degrees. The asymmetric unit holds P at (0.000, 0.500, 0.000), Au at (0.000, 0.000, 0.000), Se at (0.500, 0.500, 0.500) and I at (0.000, 0.000, 0.500).

As for the total moment: 1.06 μB per formula unit. The value obtained for the energy relative to the elements, uncorrected is 1.082 eV/atom. For the calculated volume, the calculation gives 26.89 Å³ per atom.

No. 2
# SiPAuI

An optimized crystal structure of SiPAuI (PBE, Alexandria via LeMat-Bulk).

The space group is Pm (No. 6) and the conventional cell measures 3.660, 3.960 and 6.787 Å, with angles of 90.00, 97.99 and 90.00 degrees. The asymmetric unit holds Si at (0.000, 0.000, 0.000), P at (0.532, 0.000, 0.223), Au at (0.993, 0.500, 0.262) and I at (0.185, 0.500, 0.713).

The calculation puts the energy above the lowest structure with this stoichiometry at 225 meV per atom. As for the total moment: 0.00 μB per formula unit. The value obtained for the energy relative to the elements, uncorrected is 0.217 eV/atom. For the calculated volume, the calculation gives 24.35 Å³ per atom.

No. 3
# SiPAuI

An optimized crystal structure of SiPAuI (PBE, Alexandria via LeMat-Bulk).

The space group is P1 (No. 1) and the conventional cell measures 4.126, 4.149 and 7.099 Å, with angles of 101.44, 93.11 and 90.17 degrees. The asymmetric unit holds Si at (0.000, 0.000, 0.000), P at (0.433, 0.933, 0.812), Au at (0.712, 0.465, 0.901) and I at (0.096, 0.110, 0.353).

The calculation puts the energy above the lowest structure with this stoichiometry at 3 meV per atom. As for the total moment: 0.00 μB per formula unit. The value obtained for the energy relative to the elements, uncorrected is -0.005 eV/atom. For the calculated volume, the calculation gives 29.73 Å³ per atom.

What did the third record say?
# SiPAuI

An optimized crystal structure of SiPAuI (PBE, Alexandria via LeMat-Bulk).

The space group is P1 (No. 1) and the conventional cell measures 4.126, 4.149 and 7.099 Å, with angles of 101.44, 93.11 and 90.17 degrees. The asymmetric unit holds Si at (0.000, 0.000, 0.000), P at (0.433, 0.933, 0.812), Au at (0.712, 0.465, 0.901) and I at (0.096, 0.110, 0.353).

The calculation puts the energy above the lowest structure with this stoichiometry at 3 meV per atom. As for the total moment: 0.00 μB per formula unit. The value obtained for the energy relative to the elements, uncorrected is -0.005 eV/atom. For the calculated volume, the calculation gives 29.73 Å³ per atom.